#1
# ZnHgCl

A geometry-optimized ZnHgCl structure (PBE-GGA, Alexandria via LeMat-Bulk).

Results
Its volume is 24.6 A^3/atom.

Lattice parameters (Å, degrees): 3.706 6.264 12.694 90.00 90.00 90.00
Space group Fmm2 (No. 42)
Inequivalent atoms, fractional coordinates:
Zn 0.000 0.000 0.000 [4 per cell]
Hg 0.000 0.000 0.344 [4 per cell]
Cl 0.000 0.000 0.626 [4 per cell]

#2
# ZnHgCl

A geometry-optimized ZnHgCl structure (PBE-GGA, Alexandria via LeMat-Bulk).

Results
Its volume is 25.7 A^3/atom.

Lattice parameters (Å, degrees): 6.759 6.759 6.759 90.00 90.00 90.00
Space group F-43m (No. 216)
Inequivalent atoms, fractional coordinates:
Zn 0.000 0.000 0.000 [4 per cell]
Hg 0.250 0.250 0.250 [4 per cell]
Cl 0.250 0.250 0.750 [4 per cell]

Most stable: #1. Least stable: #2.

#1
# ZnHgCl4

A geometry-optimized ZnHgCl4 structure (PBE-GGA, Alexandria via LeMat-Bulk).

Results
Its volume is 39.3 A^3/atom.

Lattice parameters (Å, degrees): 7.235 7.235 8.999 90.00 90.00 90.00
Space group P4_2/mmc (No. 131)
Inequivalent atoms, fractional coordinates:
Zn 0.000 0.500 0.000 [2 per cell]
Hg 0.000 0.000 0.000 [2 per cell]
Cl 0.232 0.270 0.000 [8 per cell]

#2
# ZnHgCl4

A geometry-optimized ZnHgCl4 structure (PBE-GGA, Alexandria via LeMat-Bulk).

Results
Its volume is 26.9 A^3/atom.

Lattice parameters (Å, degrees): 14.195 3.848 6.537 90.00 115.31 90.00
Space group C2/m (No. 12)
Inequivalent atoms, fractional coordinates:
Zn 0.000 0.000 0.000 [2 per cell]
Hg 0.000 0.500 0.500 [2 per cell]
Cl 0.108 0.500 0.260 [4 per cell]
Cl 0.112 0.000 0.811 [4 per cell]

Most stable: #2. Least stable: #1.

#1
# ZrHgCl

A geometry-optimized ZrHgCl structure (PBE-GGA, Alexandria via LeMat-Bulk).

Results
Its volume is 24.5 A^3/atom.

Lattice parameters (Å, degrees): 6.652 6.652 6.652 90.00 90.00 90.00
Space group F-43m (No. 216)
Inequivalent atoms, fractional coordinates:
Zr 0.000 0.000 0.000 [4 per cell]
Hg 0.250 0.250 0.750 [4 per cell]
Cl 0.250 0.250 0.250 [4 per cell]

#2
# ZrHgCl

A geometry-optimized ZrHgCl structure (PBE-GGA, Alexandria via LeMat-Bulk).

Results
Its volume is 21.7 A^3/atom.

Lattice parameters (Å, degrees): 4.6228 4.6228 3.5141 90.00 90.00 120.00
Space group P-6m2 (No. 187)
Inequivalent atoms, fractional coordinates:
Zr 0.0000 0.0000 0.0000 [1 per cell]
Hg 0.3333 0.6667 0.5000 [1 per cell]
Cl 0.6667 0.3333 0.0000 [1 per cell]

#3
# ZrHgCl

A geometry-optimized ZrHgCl structure (PBE-GGA, Alexandria via LeMat-Bulk).

Results
Its volume is 24.7 A^3/atom.

Lattice parameters (Å, degrees): 3.3548 3.3548 7.5982 90.00 90.00 120.00
Space group P3m1 (No. 156)
Inequivalent atoms, fractional coordinates:
Zr 0.0000 0.0000 0.0000 [1 per cell]
Hg 0.3333 0.6667 0.6936 [1 per cell]
Cl 0.6667 0.3333 0.2342 [1 per cell]

Most stable: #3. Least stable: #1.

#1
# ZrHgCl

A geometry-optimized ZrHgCl structure (PBE-GGA, Alexandria via LeMat-Bulk).

Results
Its volume is 23.1 A^3/atom.

Lattice parameters (Å, degrees): 6.523 6.523 6.523 90.00 90.00 90.00
Space group F-43m (No. 216)
Inequivalent atoms, fractional coordinates:
Zr 0.000 0.000 0.000 [4 per cell]
Hg 0.000 0.000 0.500 [4 per cell]
Cl 0.250 0.250 0.750 [4 per cell]

#2
# ZrHgCl

A geometry-optimized ZrHgCl structure (PBE-GGA, Alexandria via LeMat-Bulk).

Results
Its volume is 25.5 A^3/atom.

Lattice parameters (Å, degrees): 3.195 3.195 14.967 90.00 90.00 90.00
Space group I4mm (No. 107)
Inequivalent atoms, fractional coordinates:
Zr 0.000 0.000 0.000 [2 per cell]
Hg 0.000 0.000 0.637 [2 per cell]
Cl 0.000 0.000 0.394 [2 per cell]

Most stable: #2. Least stable: #1.

#1
# ZrHgCl2

A geometry-optimized ZrHgCl2 structure (PBE-GGA, Alexandria via LeMat-Bulk).

Results
Its volume is 29.6 A^3/atom.

Lattice parameters (Å, degrees): 3.253 6.378 11.399 90.00 90.00 90.00
Space group Cmmm (No. 65)
Inequivalent atoms, fractional coordinates:
Zr 0.000 0.000 0.000 [2 per cell]
Hg 0.000 0.000 0.500 [2 per cell]
Cl 0.000 0.500 0.174 [4 per cell]

#2
# ZrHgCl2

A geometry-optimized ZrHgCl2 structure (PBE-GGA, Alexandria via LeMat-Bulk).

Results
Its volume is 39.9 A^3/atom.

Lattice parameters (Å, degrees): 7.179 7.179 12.395 90.00 90.00 90.00
Space group I-42d (No. 122)
Inequivalent atoms, fractional coordinates:
Zr 0.000 0.000 0.000 [4 per cell]
Hg 0.000 0.000 0.500 [4 per cell]
Cl 0.113 0.250 0.125 [8 per cell]

Most stable: #1. Least stable: #2.

#1
# ZrHgCl2

A geometry-optimized ZrHgCl2 structure (PBE-GGA, Alexandria via LeMat-Bulk).

Results
Its volume is 24.0 A^3/atom.

Lattice parameters (Å, degrees): 4.831 3.400 11.680 90.00 90.00 90.00
Space group Amm2 (No. 38)
Inequivalent atoms, fractional coordinates:
Zr 0.000 0.000 0.000 [2 per cell]
Hg 0.500 0.000 0.364 [2 per cell]
Cl 0.000 0.000 0.671 [2 per cell]
Cl 0.500 0.000 0.083 [2 per cell]

#2
# ZrHgCl2

A geometry-optimized ZrHgCl2 structure (PBE-GGA, Alexandria via LeMat-Bulk).

Results
Its volume is 22.2 A^3/atom.

Lattice parameters (Å, degrees): 7.080 7.080 7.080 90.00 90.00 90.00
Space group Fm-3m (No. 225)
Inequivalent atoms, fractional coordinates:
Zr 0.000 0.000 0.000 [4 per cell]
Hg 0.000 0.000 0.500 [4 per cell]
Cl 0.250 0.250 0.250 [8 per cell]

Most stable: #1. Least stable: #2.